This record from Alexandria via LeMat-Bulk describes crystalline YHfRhAu2 at its relaxed geometry. The functional is PBE.

Values from the calculation:
Total magnetization, μB per formula unit: 0.0
DFT total energy, eV per atom: -6.019
Crystal system: tetragonal
D(E_F), states/eV/f.u.: 3.146
Calculated density, g/cm³: 10.1

a b c (Å): 5.1398 5.1398 4.7393
angles (deg): 90.00 90.00 90.00
Sites, in units of the cell vectors:
Y: 0.0000 0.0000 0.0000
Hf: 0.5000 0.5000 0.5000
Rh: 0.5000 0.5000 0.0000
Au: 0.0000 0.5000 0.5000
Au: 0.5000 0.0000 0.5000

This record from Alexandria via LeMat-Bulk describes crystalline La6Nd3Mg at its relaxed geometry. The functional is PBE.

Values from the calculation:
Total magnetization, μB per formula unit: 0.0
DFT total energy, eV per atom: -4.455
Distance to the lowest polymorph of the same formula, meV per atom: 0
Crystal system: orthorhombic
D(E_F), states/eV/f.u.: 12.851
Calculated density, g/cm³: 5.9

a b c (Å): 10.7196 12.1972 5.5226
angles (deg): 90.00 90.00 90.00
Sites, in units of the cell vectors:
La: 0.0717 0.2502 0.0000
La: 0.1728 0.0827 0.5000
La: 0.2102 0.3895 0.5000
La: 0.2898 0.8895 0.0000
La: 0.3272 0.5827 0.0000
La: 0.4283 0.7502 0.5000
La: 0.5717 0.2498 0.5000
La: 0.6728 0.4173 0.0000
La: 0.7102 0.1105 0.0000
La: 0.7898 0.6105 0.5000
La: 0.8272 0.9173 0.5000
La: 0.9283 0.7498 0.0000
Nd: 0.0000 0.5000 0.0000
Nd: 0.1192 0.7236 0.5000
Nd: 0.3808 0.2236 0.0000
Nd: 0.5000 0.0000 0.5000
Nd: 0.6192 0.7764 0.0000
Nd: 0.8808 0.2764 0.5000
Mg: 0.0000 0.0000 0.0000
Mg: 0.5000 0.5000 0.5000

This record from Alexandria via LeMat-Bulk describes crystalline Fe2I3Cl2 at its relaxed geometry. The functional is PBE.

Values from the calculation:
Total magnetization, μB per formula unit: 8.8
DFT total energy, eV per atom: -3.877
Crystal system: monoclinic
D(E_F), states/eV/f.u.: 6.234
Calculated density, g/cm³: 3.5
Uncorrected formation energy, eV/atom: -0.267

a b c (Å): 7.1793 7.1793 10.6739
angles (deg): 107.01 107.01 30.77
Sites, in units of the cell vectors:
Fe: 0.0035 0.0035 0.2120
Fe: 0.9965 0.9965 0.7880
I: 0.3947 0.3947 0.6241
I: 0.5000 0.5000 0.0000
I: 0.6053 0.6053 0.3759
Cl: 0.1518 0.1518 0.7906
Cl: 0.8482 0.8482 0.2094

D(E_F) of number 3 (Fe2I3Cl2)? 6.234 states/eV/f.u.

What is the total magnetization in the first record? 0.0 μB per formula unit